The following is a GGA-PBE calculation of a relaxed structure of TiCr2Re2, from Alexandria via LeMat-Bulk.

It has space group Immm (No. 71), with a = 4.388 Å, b = 4.988 Å, c = 6.561 Å, α = 90.00°, β = 90.00° and γ = 90.00°. The distinct sites, in fractional coordinates, are Ti at (0.000, 0.000, 0.000), Cr at (0.000, 0.209, 0.500) and Re at (0.000, 0.500, 0.207).

The energy relative to the elements is 0.200 eV per atom.